[1]
DFT (PBE) results for a relaxed structure of GeAsS2N.

Values from the calculation:
As for the crystal system: tetragonal. The calculation puts the uncorrected formation energy at 0.830 eV/atom. For the relative energy among the computed polymorphs, the calculation gives 29.1 kJ/mol of formula units.

a = 4.897 Å, b = 4.897 Å, c = 3.534 Å
α = 90.00°, β = 90.00°, γ = 90.00°
Fractional coordinates of all 5 atoms:
1 Ge 0.000 0.000 0.000
2 As 0.500 0.500 0.500
3 S 0.000 0.500 0.000
4 S 0.500 0.000 0.000
5 N 0.000 0.000 0.500



[2]
DFT (PBE) results for a relaxed structure of Ta5Pt.

Values from the calculation:
As for the crystal system: orthorhombic. For the formation energy, the calculation gives -0.2433 eV per atom. For the relative energy among the computed polymorphs, the calculation gives 17.4 kJ/mol of formula units.

a = 7.026 Å, b = 7.026 Å, c = 4.646 Å
α = 90.00°, β = 90.00°, γ = 152.46°
Fractional coordinates of all 6 atoms:
1 Ta 0.000 0.000 0.000
2 Ta 0.165 0.835 0.500
3 Ta 0.334 0.666 0.000
4 Ta 0.666 0.334 0.000
5 Ta 0.835 0.165 0.500
6 Pt 0.500 0.500 0.500



[3]
DFT (PBE) results for a relaxed structure of NdPtBr.

Values from the calculation:
As for the crystal system: monoclinic. The calculation puts the uncorrected formation energy at -1.298 eV/atom.

a = 4.164 Å, b = 4.164 Å, c = 12.719 Å
α = 92.69°, β = 92.69°, γ = 59.99°
Fractional coordinates of all 6 atoms:
1 Nd 0.149 0.149 0.312
2 Nd 0.851 0.851 0.688
3 Pt 0.172 0.172 0.559
4 Pt 0.828 0.828 0.441
5 Br 0.468 0.468 0.162
6 Br 0.532 0.532 0.838



[4]
DFT (PBE) results for a relaxed structure of Pm2Zn6Ga.

Values from the calculation:
As for the crystal system: trigonal. For the formation energy, the calculation gives -0.3291 eV per atom.

a = 5.831 Å, b = 5.831 Å, c = 5.805 Å
α = 90.00°, β = 90.00°, γ = 120.00°
Fractional coordinates of all 9 atoms:
1 Pm 0.333 0.667 0.154
2 Pm 0.667 0.333 0.846
3 Zn 0.178 0.356 0.660
4 Zn 0.178 0.822 0.660
5 Zn 0.356 0.178 0.340
6 Zn 0.644 0.822 0.660
7 Zn 0.822 0.178 0.340
8 Zn 0.822 0.644 0.340
9 Ga 0.000 0.000 0.000



For reference, volume by record: 84.7 106.0 190.7 170.9 Å³ per cell.